1.
# SCAN Li2RePt, single point on PBEsol structure
# formation enthalpy at 0 K = 114 meV per atom
# energy above the lowest structure with this stoichiometry = 340 meV/atom
# energy = -36.404 eV/atom
# symmetry = I4/mmm (139)
data_Li2RePt
_chemical_formula_sum 'Li2 Re1 Pt1'
_cell_length_a 3.609
_cell_length_b 3.609
_cell_length_c 5.056
_cell_angle_alpha 110.91
_cell_angle_beta 110.91
_cell_angle_gamma 90.00
_symmetry_space_group_name_H-M 'P 1'
_symmetry_Int_Tables_number 1
loop_
_symmetry_equiv_pos_as_xyz
'x,y,z'
loop_
_atom_site_label
_atom_site_type_symbol
_atom_site_fract_x
_atom_site_fract_y
_atom_site_fract_z
Li1 Li 0.250 0.750 0.500
Pt1 Pt 0.500 0.500 0.000
Re1 Re 0.000 0.000 0.000
Li2 Li 0.750 0.250 0.500

2.
# SCAN NaV2O4, single point on PBEsol structure
# energy above the lowest structure with this stoichiometry = 100 meV/atom
# formation energy without anion corrections = -2.479 eV per atom
# energy = -11.638 eV/atom
# symmetry = I4_1/amd (141)
data_NaV2O4
_chemical_formula_sum 'Na2 V4 O8'
_cell_length_a 5.973
_cell_length_b 6.037
_cell_length_c 5.973
_cell_angle_alpha 119.65
_cell_angle_beta 90.00
_cell_angle_gamma 119.65
_symmetry_space_group_name_H-M 'P 1'
_symmetry_Int_Tables_number 1
loop_
_symmetry_equiv_pos_as_xyz
'x,y,z'
loop_
_atom_site_label
_atom_site_type_symbol
_atom_site_fract_x
_atom_site_fract_y
_atom_site_fract_z
V1 V 0.125 0.750 0.375
O1 O 0.390 0.207 0.603
O2 O 0.397 0.793 0.183
O3 O 0.853 0.707 0.567
O4 O 0.817 0.207 0.603
Na1 Na 0.000 0.000 0.000
V2 V 0.625 0.750 0.375
V3 V 0.625 0.250 0.375
O5 O 0.853 0.707 0.140
Na2 Na 0.250 0.500 0.750
V4 V 0.625 0.250 0.875
O6 O 0.860 0.293 0.147
O7 O 0.397 0.793 0.610
O8 O 0.433 0.293 0.147

3.
# SCAN Y3Os, single point on PBEsol structure
# formation enthalpy at 0 K = 71 meV per atom
# energy = -38.781 eV/atom
# symmetry = P2/m (10)
data_Y3Os
_chemical_formula_sum 'Y3 Os1'
_cell_length_a 3.457
_cell_length_b 4.516
_cell_length_c 6.331
_cell_angle_alpha 90.00
_cell_angle_beta 105.03
_cell_angle_gamma 90.00
_symmetry_space_group_name_H-M 'P 1'
_symmetry_Int_Tables_number 1
loop_
_symmetry_equiv_pos_as_xyz
'x,y,z'
loop_
_atom_site_label
_atom_site_type_symbol
_atom_site_fract_x
_atom_site_fract_y
_atom_site_fract_z
Y1 Y 0.605 0.500 0.784
Os1 Os 0.000 0.000 0.000
Y2 Y 0.395 0.500 0.216
Y3 Y 0.000 0.000 0.500

4.
# SCAN KAsIF2, single point on PBEsol structure
# formation energy without anion corrections = -1.340 eV per atom
# energy = -15.808 eV/atom
# symmetry = P4/mmm (123)
data_KAsIF2
_chemical_formula_sum 'K1 As1 I1 F2'
_cell_length_a 4.446
_cell_length_b 4.446
_cell_length_c 6.058
_cell_angle_alpha 90.00
_cell_angle_beta 90.00
_cell_angle_gamma 90.00
_symmetry_space_group_name_H-M 'P 1'
_symmetry_Int_Tables_number 1
loop_
_symmetry_equiv_pos_as_xyz
'x,y,z'
loop_
_atom_site_label
_atom_site_type_symbol
_atom_site_fract_x
_atom_site_fract_y
_atom_site_fract_z
As1 As 0.000 0.000 0.000
F1 F 0.000 0.500 0.000
K1 K 0.500 0.500 0.500
I1 I 0.000 0.000 0.500
F2 F 0.500 0.000 0.000

5.
# SCAN BaSrW2, single point on PBEsol structure
# formation enthalpy at 0 K = 972 meV per atom
# energy above the lowest structure with this stoichiometry = 0 meV/atom
# energy = -49.329 eV/atom
# symmetry = Cm (8)
data_BaSrW2
_chemical_formula_sum 'Ba1 Sr1 W2'
_cell_length_a 3.291
_cell_length_b 4.513
_cell_length_c 8.907
_cell_angle_alpha 92.86
_cell_angle_beta 90.00
_cell_angle_gamma 111.38
_symmetry_space_group_name_H-M 'P 1'
_symmetry_Int_Tables_number 1
loop_
_symmetry_equiv_pos_as_xyz
'x,y,z'
loop_
_atom_site_label
_atom_site_type_symbol
_atom_site_fract_x
_atom_site_fract_y
_atom_site_fract_z
W1 W 0.267 0.534 0.836
Ba1 Ba 0.513 0.027 0.580
Sr1 Sr 0.733 0.466 0.160
W2 W 0.986 0.973 0.923

6.
# SCAN LaHoIn2, single point on PBEsol structure
# formation enthalpy at 0 K = -629 meV per atom
# energy = -40.346 eV/atom
# symmetry = Fm-3m (225)
data_LaHoIn2
_chemical_formula_sum 'La1 Ho1 In2'
_cell_length_a 5.356
_cell_length_b 5.356
_cell_length_c 5.356
_cell_angle_alpha 60.00
_cell_angle_beta 60.00
_cell_angle_gamma 60.00
_symmetry_space_group_name_H-M 'P 1'
_symmetry_Int_Tables_number 1
loop_
_symmetry_equiv_pos_as_xyz
'x,y,z'
loop_
_atom_site_label
_atom_site_type_symbol
_atom_site_fract_x
_atom_site_fract_y
_atom_site_fract_z
In1 In 0.250 0.250 0.250
Ho1 Ho 0.500 0.500 0.500
La1 La 0.000 0.000 0.000
In2 In 0.750 0.750 0.750

7.
# SCAN Zr2ScRe, single point on PBEsol structure
# formation enthalpy at 0 K = -194 meV per atom
# energy = -36.877 eV/atom
# symmetry = Imm2 (44)
data_Zr2ScRe
_chemical_formula_sum 'Zr2 Sc1 Re1'
_cell_length_a 3.344
_cell_length_b 4.761
_cell_length_c 5.760
_cell_angle_alpha 114.41
_cell_angle_beta 106.88
_cell_angle_gamma 90.00
_symmetry_space_group_name_H-M 'P 1'
_symmetry_Int_Tables_number 1
loop_
_symmetry_equiv_pos_as_xyz
'x,y,z'
loop_
_atom_site_label
_atom_site_type_symbol
_atom_site_fract_x
_atom_site_fract_y
_atom_site_fract_z
Zr1 Zr 0.998 0.498 0.997
Re1 Re 0.504 0.004 0.008
Zr2 Zr 0.214 0.214 0.428
Sc1 Sc 0.783 0.783 0.567

8.
# SCAN Li2TcSe, single point on PBEsol structure
# formation energy without anion corrections = -0.211 eV per atom
# energy = -15.190 eV/atom
# symmetry = P4mm (99)
data_Li2TcSe
_chemical_formula_sum 'Li2 Tc1 Se1'
_cell_length_a 3.182
_cell_length_b 3.182
_cell_length_c 5.683
_cell_angle_alpha 90.00
_cell_angle_beta 90.00
_cell_angle_gamma 90.00
_symmetry_space_group_name_H-M 'P 1'
_symmetry_Int_Tables_number 1
loop_
_symmetry_equiv_pos_as_xyz
'x,y,z'
loop_
_atom_site_label
_atom_site_type_symbol
_atom_site_fract_x
_atom_site_fract_y
_atom_site_fract_z
Se1 Se 0.000 0.000 0.530
Li1 Li 0.500 0.500 0.250
Tc1 Tc 0.500 0.500 0.727
Li2 Li 0.000 0.000 0.993